No. 1
A plane-wave DFT calculation with meta-GGA SCAN was carried out for a crystal of LiHgSb2 relaxed with PBEsol.

```
LiHgSb2
1.0
3.923 0.000 0.000
0.000 3.923 0.000
0.000 0.000 6.203
Li Hg Sb
1 1 2
Direct
0.000 0.000 0.000
0.500 0.500 0.793
0.000 0.000 0.504
0.500 0.500 0.283
```

Calculated values
**N(E_F)**: 1.09 states/eV/f.u.
**E**: -36.388 eV per atom
**Magnetic moment**: 0.00 μB/cell

No. 2
A plane-wave DFT calculation with meta-GGA SCAN was carried out for a crystal of Tc2PBr relaxed with PBEsol.

```
Tc2PBr
1.0
2.993 0.000 0.000
0.000 2.993 0.000
0.000 0.000 6.397
Tc P Br
2 1 1
Direct
0.000 0.000 0.205
0.000 0.000 0.795
0.500 0.500 0.000
0.500 0.500 0.500
```

Calculated values
**N(E_F)**: 3.16 states/eV/f.u.
**E**: -24.718 eV per atom
**Magnetic moment**: 0.00 μB/cell

No. 3
A plane-wave DFT calculation with meta-GGA SCAN was carried out for a crystal of CrPRh2 relaxed with PBEsol.

```
CrPRh2
1.0
-1.848 1.848 3.658
1.848 -1.848 3.658
1.848 1.848 -3.658
Cr P Rh
1 1 2
Direct
0.000 0.000 0.000
0.750 0.250 0.500
0.250 0.750 0.500
0.500 0.500 0.000
```

Calculated values
**N(E_F)**: 2.71 states/eV/f.u.
**Formation energy**: -0.226 eV/atom
**Magnetic moment**: 2.17 μB/cell

No. 4
A plane-wave DFT calculation with meta-GGA SCAN was carried out for a crystal of SmBr2 relaxed with PBEsol.

```
SmBr2
1.0
13.748 0.000 0.000
0.000 3.857 0.000
0.000 0.000 6.819
Sm Br
4 8
Direct
0.112 0.250 0.003
0.388 0.750 0.503
0.612 0.250 0.497
0.888 0.750 0.997
0.045 0.750 0.717
0.210 0.750 0.255
0.290 0.250 0.755
0.455 0.250 0.217
0.545 0.750 0.783
0.710 0.750 0.245
0.790 0.250 0.745
0.955 0.250 0.283
```

Calculated values
**N(E_F)**: 0.92 states/eV/f.u.
**E**: -29.604 eV per atom
**Magnetic moment**: 3.66 μB/cell